Computed, not measured: Ti2ReSeCl after structural relaxation at the GGA-PBE level of DFT.

Cell: 4.889 4.485 4.889 Å, 90.00 90.00 90.00°
Fractional positions:
Re 0.000 0.000 0.000
Cl 0.000 0.500 0.000
Se 0.500 0.500 0.500
Ti 0.000 0.000 0.500
Ti 0.500 0.000 0.000

Output
SG ... No. 123
Formation energy (no corrections) ... 458 meV per atom